No. 1
The following is a DFT calculation (PBE) of a relaxed NbZnPS2 crystal.

The energy relative to the elements, uncorrected is 50 meV per atom. The total energy comes out at -24.76 eV for the cell shown.

It has space group P4/mmm (No. 123), with a = 4.7522 Å, b = 4.7522 Å, c = 5.0004 Å, α = 90.00°, β = 90.00° and γ = 90.00°. The inequivalent atoms are Nb at (0.0000, 0.0000, 0.0000), Zn at (0.5000, 0.5000, 0.5000), P at (0.0000, 0.0000, 0.5000) and S at (0.0000, 0.5000, 0.0000).

=====

No. 2
The following is a DFT calculation (PBE) of a relaxed ZrNbP2S crystal.

The energy relative to the elements, uncorrected is 83 meV per atom. The total energy comes out at -33.15 eV for the cell shown.

It has space group P4/mmm (No. 123), with a = 4.8014 Å, b = 4.8014 Å, c = 4.6466 Å, α = 90.00°, β = 90.00° and γ = 90.00°. The inequivalent atoms are Zr at (0.0000, 0.0000, 0.0000), Nb at (0.5000, 0.5000, 0.5000), P at (0.0000, 0.5000, 0.5000) and S at (0.5000, 0.5000, 0.0000).

=====

No. 3
The following is a DFT calculation (PBE) of a relaxed ZrNbP2S crystal.

The energy relative to the elements, uncorrected is 605 meV per atom. The total energy comes out at -30.54 eV for the cell shown.

It has space group P4/mmm (No. 123), with a = 4.5382 Å, b = 4.5382 Å, c = 4.6284 Å, α = 90.00°, β = 90.00° and γ = 90.00°. The inequivalent atoms are Zr at (0.0000, 0.0000, 0.0000), Nb at (0.5000, 0.5000, 0.0000), P at (0.0000, 0.5000, 0.5000) and S at (0.0000, 0.0000, 0.5000).